Entry 1:
Material: La2Ho3Th
Method: DFT, PBE
State: relaxed

```
12
Lattice="5.805 0.000 0.000 0.000 10.957 0.000 0.000 0.000 6.334" Properties=species:S:1:pos:R:3 pbc="T T T"
La 0.000 0.904 0.000
La 0.000 10.053 3.167
La 2.903 2.906 5.282
La 2.903 8.051 2.115
Ho 0.000 2.758 3.146
Ho 0.000 4.688 0.179
Ho 0.000 6.269 3.346
Ho 0.000 8.199 6.313
Ho 2.903 0.975 2.173
Ho 2.903 9.983 5.340
Th 2.903 4.598 2.165
Th 2.903 6.360 5.332
```

Properties
Magnetization in μB per cell: 0.00
SG: Pmc2_1
Calculated total energy in eV per cell: -61.43

***

Entry 2:
Material: PrMgPd6
Method: DFT, PBE
State: relaxed

```
8
Lattice="2.722 1.572 7.018 -2.722 1.572 7.018 0.000 -3.143 7.018" Properties=species:S:1:pos:R:3 pbc="T T T"
Pr 0.000 0.000 0.000
Mg 0.000 0.000 10.527
Pd -1.379 -0.796 8.411
Pd 0.000 -1.592 12.644
Pd -1.379 0.796 12.644
Pd 1.379 -0.796 8.411
Pd 0.000 1.592 8.411
Pd 1.379 0.796 12.644
```

Properties
Magnetization in μB per cell: 0.00
SG: R-3m
Calculated total energy in eV per cell: -38.90

***

Entry 3:
Material: Ru2PtS
Method: DFT, PBE
State: relaxed

```
8
Lattice="-2.649 2.649 5.555 2.649 -2.649 5.555 2.649 2.649 -5.555" Properties=species:S:1:pos:R:3 pbc="T T T"
Ru 3.973 1.073 -1.389
Ru 1.073 1.324 1.389
Ru -1.324 1.576 4.166
Ru 1.576 1.324 6.944
Pt 2.649 0.000 2.778
Pt 0.000 0.000 5.555
S 0.000 0.000 0.000
S 0.000 2.649 2.778
```

Properties
Magnetization in μB per cell: 0.00
SG: I-42d
Calculated total energy in eV per cell: -53.78

***

Entry 4:
Material: MgH3Rh
Method: DFT, PBE
State: relaxed

```
10
Lattice="4.704 0.000 0.000 -2.334 4.124 0.000 -0.341 -1.886 4.629" Properties=species:S:1:pos:R:3 pbc="T T T"
Mg 0.000 0.000 0.000
Mg -0.344 0.842 2.874
H 1.078 -0.900 2.244
H -0.361 2.168 4.493
H 1.305 1.851 0.429
H 0.830 3.143 2.341
H 2.067 1.067 2.964
H 3.276 1.550 0.672
Rh -0.152 2.631 0.958
Rh 2.038 -0.409 3.714
```

Properties
Magnetization in μB per cell: 0.00
SG: P1
Calculated total energy in eV per cell: -40.65